(1)
CsNi2OsC: relaxed, PBE.

Cell and atoms, written as POSCAR:
```
CsNi2OsC
1.0
4.876 0.000 0.000
0.000 3.939 0.000
0.000 0.000 4.876
C Ni Os Cs
1 2 1 1
Direct
0.000 0.500 0.000
0.500 0.000 0.000
0.000 0.000 0.500
0.000 0.000 0.000
0.500 0.500 0.500
```

Summary:
Symmetry: P4/mmm (123)
Calculated formation energy (eV per atom): 1.19
Uncorrected energy (eV/atom): -5.384
Magnetization (μB per cell): 0.000



(2)
CsNiPt2C: relaxed, PBE.

Cell and atoms, written as POSCAR:
```
CsNiPt2C
1.0
3.990 0.000 0.000
0.000 6.300 0.000
0.000 0.000 3.990
C Pt Ni Cs
1 2 1 1
Direct
0.000 0.000 0.000
0.500 0.000 0.000
0.000 0.000 0.500
0.500 0.500 0.500
0.000 0.500 0.000
```

Summary:
Symmetry: P4/mmm (123)
Calculated formation energy (eV per atom): 0.86
Uncorrected energy (eV/atom): -4.732
Magnetization (μB per cell): 0.004